Material: ZrZnSCl2
Method: DFT, PBE-GGA
State: optimized geometry

Unit cell a=4.6457 b=4.6457 c=4.9379 alpha=90.00 beta=90.00 gamma=90.00
Closest atoms and distances in Å follow each position.
Space group P4/mmm (No. 123)
Asymmetric unit:
Zr  0.0000  0.0000  0.0000 x1  4 S 3.28, 8 Cl 3.39
Zn  0.5000  0.5000  0.5000 x1  4 Cl 2.32, 2 S 2.47
S  0.5000  0.5000  0.0000 x1  2 Zn 2.47
Cl  0.0000  0.5000  0.5000 x2  2 Zn 2.32

energy above the lowest structure with this stoichiometry = 652.5 meV per atom
ΔE_f (raw) = -0.25 eV per atom

=====

Material: Nd5Al2Ge5
Method: DFT, PBE-GGA
State: optimized geometry

Unit cell a=15.2484 b=4.2354 c=11.8467 alpha=90.00 beta=130.04 gamma=90.00
Closest atoms and distances in Å follow each position.
Space group C2/m (No. 12)
Asymmetric unit:
Nd  0.0000  0.0000  0.0000 x2  4 Al 3.17, 6 Ge 3.24
Nd  0.1308  0.5000  0.8312 x4  5 Ge 3.07-3.11, 1 Al 3.21
Nd  0.1803  0.5000  0.5745 x4  7 Ge 3.11-3.36, 3 Al 3.17-3.20
Al  0.1178  0.5000  0.2594 x4  3 Ge 2.50-2.54
Ge  0.0000  0.0000  0.5000 x2  2 Ge 2.86, 4 Nd 3.11
Ge  0.0628  0.0000  0.3183 x4  2 Al 2.54
Ge  0.2078  0.5000  0.1425 x4  1 Al 2.50

ΔH_f (0 K) = -16.23 kcal/mol of atoms

=====

Which size of the total moment belongs to each record? In order, 0.386; 0.000 μB/atom.